# 1
First-principles (PBE) data for a relaxed Cs2Ru2S crystal, as listed in the Alexandria database.

Properties
As for the formation energy (no corrections): 586.6 meV per atom.

a = 6.3263 Å, b = 6.3263 Å, c = 6.1047 Å
α = 90.00°, β = 90.00°, γ = 90.00°
Last column: nearest neighbours and their distance in Å.
Fractional coordinates of all 10 atoms:
Cs 0.1839 0.6839 0.5000  5 Cs 3.27-3.29, 2 Ru 3.43
Cs 0.6839 0.8161 0.5000  5 Cs 3.27-3.29, 2 Ru 3.43
Cs 0.8161 0.3161 0.5000  5 Cs 3.27-3.29, 2 Ru 3.43
Cs 0.3161 0.1839 0.5000  5 Cs 3.27-3.29, 2 Ru 3.43
Ru 0.6412 0.1412 0.0000  2 S 2.44, 1 Ru 2.53
Ru 0.3588 0.8588 0.0000  2 S 2.44, 1 Ru 2.53
Ru 0.8588 0.6412 0.0000  2 S 2.44, 1 Ru 2.53
Ru 0.1412 0.3588 0.0000  2 S 2.44, 1 Ru 2.53
S 0.5000 0.5000 0.0000  4 Ru 2.44
S 0.0000 0.0000 0.0000  4 Ru 2.44

=====

# 2
First-principles (PBE) data for a relaxed TmScGe crystal, as listed in the Alexandria database.

Properties
As for the formation energy from the elements: -529.1 meV/atom.

a = 4.6952 Å, b = 4.6952 Å, c = 4.6952 Å
α = 60.00°, β = 60.00°, γ = 60.00°
Last column: nearest neighbours and their distance in Å.
Fractional coordinates of all 3 atoms:
Ge 0.2500 0.2500 0.2500  4 Sc 2.88, 4 Tm 2.88
Sc 0.0000 0.0000 0.0000  4 Ge 2.88
Tm 0.5000 0.5000 0.5000  4 Ge 2.88

=====

# 3
First-principles (PBE) data for a relaxed YMn3Ru crystal, as listed in the Alexandria database.

Properties
As for the formation energy from the elements: 666.5 meV/atom.

a = 4.7241 Å, b = 4.7241 Å, c = 4.7241 Å
α = 90.00°, β = 90.00°, γ = 90.00°
Last column: nearest neighbours and their distance in Å.
Fractional coordinates of all 5 atoms:
Mn 0.5000 0.0000 0.0000  2 Ru 2.36
Mn 0.0000 0.5000 0.0000  2 Ru 2.36
Mn 0.0000 0.0000 0.5000  2 Ru 2.36
Ru 0.0000 0.0000 0.0000  6 Mn 2.36
Y 0.5000 0.5000 0.5000  12 Mn 3.34

=====

Ordered magnetization results: 0.000, 0.000, 10.839; unit μB per formula unit.